# SiAgCl2 PBE relaxed
data_SiAgCl2
_chemical_formula_sum 'Si2 Ag2 Cl4'
_space_group_name_H-M_alt 'C 1 m 1'
_space_group_IT_number 8
_space_group_name_Hall 'C -2y'
_cell_length_a 11.8299
_cell_length_b 3.4819
_cell_length_c 5.9087
_cell_angle_alpha 90.00
_cell_angle_beta 107.60
_cell_angle_gamma 90.00
loop_
_atom_site_label
_atom_site_fract_x
_atom_site_fract_y
_atom_site_fract_z
Si1 0.0000 0.0000 0.0000
Ag1 0.4636 0.0000 0.2693
Cl1 0.1712 0.0000 0.9710
Cl2 0.4138 0.0000 0.6495
# - N(E_F) (states/eV/atom) = 0.404
# - offset from the most stable computed form (meV per atom) = 0
# - energy relative to the elements, uncorrected (eV/atom) = -0.294

***

# SiAgCl2 PBE relaxed
data_SiAgCl2
_chemical_formula_sum 'Si4 Ag4 Cl8'
_space_group_name_H-M_alt 'F -4 3 m'
_space_group_IT_number 216
_space_group_name_Hall 'F -4 2 3'
_cell_length_a 6.8379
_cell_length_b 6.8379
_cell_length_c 6.8379
_cell_angle_alpha 90.00
_cell_angle_beta 90.00
_cell_angle_gamma 90.00
loop_
_atom_site_label
_atom_site_fract_x
_atom_site_fract_y
_atom_site_fract_z
Si1 0.0000 0.0000 0.0000
Ag1 0.2500 0.2500 0.7500
Cl1 0.0000 0.0000 0.5000
Cl2 0.2500 0.2500 0.2500
# - N(E_F) (states/eV/atom) = 1.150
# - offset from the most stable computed form (meV per atom) = 672
# - energy relative to the elements, uncorrected (eV/atom) = 0.378

***

# SiAg3Cl6 PBE relaxed
data_SiAg3Cl6
_chemical_formula_sum 'Si2 Ag6 Cl12'
_space_group_name_H-M_alt 'P 1 21/c 1'
_space_group_IT_number 14
_space_group_name_Hall '-P 2ybc'
_cell_length_a 6.7508
_cell_length_b 6.7118
_cell_length_c 11.9768
_cell_angle_alpha 90.00
_cell_angle_beta 122.71
_cell_angle_gamma 90.00
loop_
_atom_site_label
_atom_site_fract_x
_atom_site_fract_y
_atom_site_fract_z
Si1 0.0000 0.0000 0.0000
Ag1 0.2655 0.0364 0.7585
Ag2 0.5000 0.0000 0.5000
Cl1 0.0749 0.1991 0.4226
Cl2 0.2540 0.6699 0.4487
Cl3 0.3317 0.0801 0.2239
# - N(E_F) (states/eV/atom) = 0.365
# - energy relative to the elements, uncorrected (eV/atom) = -0.504

***

Asked for M_tot across the records above, the calculation gives 0.00 0.00 0.00 μB per atom in order.
Asked for E across the records above, the calculation gives -26.29 -41.83 -60.19 eV/cell in order.